! KLiPO3 GGA-PBE optimized geometry; values from VASP
! space-group type	P6_3/mmc (194)
! formation energy (no corrections)	-1.7253	eV per atom
! final energy	-33.65	eV per formula unit
&SYSTEM
  ibrav = 0, nat = 12, ntyp = 4
/
ATOMIC_SPECIES
K 39.10 K.upf
Li 6.94 Li.upf
P 30.97 P.upf
O 16.00 O.upf
ATOMIC_POSITIONS angstrom
K 2.8562 1.6490 1.6156
K 0.0000 3.2980 4.8467
Li 0.0000 0.0000 3.2311
Li 0.0000 0.0000 0.0000
P 0.0000 3.2980 1.6156
P 2.8562 1.6490 4.8467
O 4.1940 0.8766 4.8467
O 0.0000 1.7532 1.6156
O 1.5183 0.8766 4.8467
O 1.3379 4.0704 1.6156
O 2.8562 3.1939 4.8467
O -1.3379 4.0704 1.6156
CELL_PARAMETERS angstrom
5.7123 0.0000 0.0000
-2.8562 4.9470 0.0000
0.0000 0.0000 6.4622